1.
Nb3RhSe: single point on PBEsol structure, SCAN.

Structure (POSCAR):
```
Nb3RhSe
1.0
4.783 0.000 0.000
0.000 4.783 0.000
0.000 0.000 4.783
Nb Rh Se
3 1 1
Direct
0.000 0.000 0.500 Nb
0.000 0.500 0.000 Nb
0.500 0.000 0.000 Nb
0.000 0.000 0.000 Rh
0.500 0.500 0.500 Se
```

Results
crystal system: cubic
formation energy (no corrections): 4.6 eV/f.u.

---

2.
BeNbInGa2: single point on PBEsol structure, SCAN.

Structure (POSCAR):
```
BeNbInGa2
1.0
4.845 0.000 0.000
0.000 4.845 0.000
0.000 0.000 5.309
Be Nb In Ga
1 1 1 2
Direct
0.000 0.000 0.000 Be
0.500 0.500 0.000 Nb
0.500 0.500 0.500 In
0.000 0.500 0.500 Ga
0.500 0.000 0.500 Ga
```

Results
energy relative to the elements: 1555 meV/atom
crystal system: tetragonal

---

3.
LuCoB4: single point on PBEsol structure, SCAN.

Structure (POSCAR):
```
LuCoB4
1.0
5.804 0.000 0.000
0.000 11.231 0.000
0.000 0.000 3.266
Lu Co B
4 4 16
Direct
0.129 0.150 0.000 Lu
0.371 0.650 0.000 Lu
0.629 0.350 0.000 Lu
0.871 0.850 0.000 Lu
0.135 0.410 0.000 Co
0.365 0.910 0.000 Co
0.635 0.090 0.000 Co
0.865 0.590 0.000 Co
0.022 0.692 0.500 B
0.112 0.547 0.500 B
0.137 0.968 0.500 B
0.215 0.815 0.500 B
0.285 0.315 0.500 B
0.363 0.468 0.500 B
0.388 0.047 0.500 B
0.478 0.192 0.500 B
0.522 0.808 0.500 B
0.612 0.953 0.500 B
0.637 0.532 0.500 B
0.715 0.685 0.500 B
0.785 0.185 0.500 B
0.863 0.032 0.500 B
0.888 0.453 0.500 B
0.978 0.308 0.500 B
```

Results
energy relative to the elements: -668 meV/atom
crystal system: orthorhombic

---

4.
LiMg2Al: single point on PBEsol structure, SCAN.

Structure (POSCAR):
```
LiMg2Al
1.0
2.950 -4.738 0.000
2.950 4.738 0.000
-1.079 0.000 2.759
Li Mg Al
1 2 1
Direct
0.000 0.000 0.000 Li
0.000 0.500 0.500 Mg
0.500 0.000 0.500 Mg
0.500 0.500 0.000 Al
```

Results
energy relative to the elements: -3 meV/atom
crystal system: monoclinic

---

Number 1: spin magnetization 0.000 μB/atom, mass density 7.0 Mg/m³, density of states at the Fermi level 1.1468 states/eV/atom. Number 2: spin magnetization 0.408 μB/atom, mass density 4.7 Mg/m³, density of states at the Fermi level 0.9529 states/eV/atom. Number 3: spin magnetization 0.000 μB/atom, mass density 8.6 Mg/m³, density of states at the Fermi level 0.2972 states/eV/atom. Number 4: spin magnetization 0.002 μB/atom, mass density 1.8 Mg/m³, density of states at the Fermi level 0.3028 states/eV/atom.